1.
DFT (PBE-GGA) results for DyCdCuPd after structural relaxation.

Output
**N(E_F)**: 2.4 states/eV/cell
**E_tot**: -4.1530 eV/atom

POSCAR file:
```
DyCdCuPd
1.0
0.000 3.372 3.372
3.372 0.000 3.372
3.372 3.372 0.000
Dy Cd Cu Pd
1 1 1 1
direct
0.000 0.000 0.000
0.500 0.500 0.500
0.250 0.250 0.250
0.750 0.750 0.750
```

2.
DFT (PBE-GGA) results for Ac3ZnN after structural relaxation.

Output
**N(E_F)**: 9.2 states/eV/cell
**E_form (uncorrected)**: -516 meV per atom
**E_tot**: -4.9005 eV/atom
**ΔE to the lowest computed polymorph**: 0.000 eV per atom

POSCAR file:
```
Ac3ZnN
1.0
1.979 -6.945 0.000
1.979 6.945 0.000
0.000 0.000 10.710
Ac Zn N
6 2 2
direct
0.061 0.939 0.750
0.377 0.623 0.556
0.377 0.623 0.944
0.623 0.377 0.056
0.623 0.377 0.444
0.939 0.061 0.250
0.250 0.750 0.250
0.750 0.250 0.750
0.000 0.000 0.000
0.000 0.000 0.500
```

3.
DFT (PBE-GGA) results for PrMg8Zn4 after structural relaxation.

Output
**N(E_F)**: 5.5 states/eV/cell
**E_tot**: -1.8931 eV/atom

POSCAR file:
```
PrMg8Zn4
1.0
-4.869 4.869 2.820
4.869 -4.869 2.820
4.869 4.869 -2.820
Pr Mg Zn
1 8 4
direct
0.000 0.000 0.000
0.000 0.346 0.346
0.000 0.654 0.654
0.284 0.500 0.784
0.346 0.000 0.346
0.500 0.284 0.784
0.500 0.716 0.216
0.654 0.000 0.654
0.716 0.500 0.216
0.000 0.000 0.500
0.000 0.500 0.000
0.500 0.000 0.000
0.500 0.500 0.500
```

4.
DFT (PBE-GGA) results for HoPa2Ge after structural relaxation.

Output
**N(E_F)**: 5.5 states/eV/cell
**E_tot**: -7.2662 eV/atom
**ΔE to the lowest computed polymorph**: 0.000 eV per atom

POSCAR file:
```
HoPa2Ge
1.0
4.317 0.000 0.000
0.000 4.317 0.000
0.000 0.000 4.994
Ho Pa Ge
1 2 1
direct
0.000 0.000 0.000
0.000 0.500 0.500
0.500 0.000 0.500
0.500 0.500 0.000
```